# 1
Here is crystalline Y2ScHgH at its relaxed geometry from Alexandria via LeMat-Bulk. Energies are from PBE.

a b c (Å): 4.8108 4.8108 4.5533
angles (deg): 90.00 90.00 90.00
Space group P4/mmm (No. 123)
Symmetry-distinct sites (fractional):
Y (0.0000, 0.5000, 0.0000) (multiplicity 2)
Sc (0.0000, 0.0000, 0.5000) (multiplicity 1)
Hg (0.5000, 0.5000, 0.5000) (multiplicity 1)
H (0.0000, 0.0000, 0.0000) (multiplicity 1)

Summary:
**Energy**: -4.88 eV/atom
**Magnetic moment**: 2.058 μB/f.u.
**Density of states at the Fermi level**: 4.6 states/eV/f.u.


# 2
Here is crystalline AcTaAl2O8 at its relaxed geometry from Alexandria via LeMat-Bulk. Energies are from PBE.

a b c (Å): 5.5564 5.5564 6.9010
angles (deg): 90.00 90.00 120.00
Space group P-3m1 (No. 164)
Symmetry-distinct sites (fractional):
Ac (0.0000, 0.0000, 0.0000) (multiplicity 1)
Ta (0.0000, 0.0000, 0.5000) (multiplicity 1)
Al (0.3333, 0.6667, 0.7487) (multiplicity 2)
O (0.1585, 0.3170, 0.6829) (multiplicity 6)
O (0.3333, 0.6667, 0.0085) (multiplicity 2)

Summary:
**Formation energy from raw total energies**: -2.5635 eV/atom
**Energy**: -7.82 eV/atom
**Magnetic moment**: 1.759 μB/f.u.
**Density of states at the Fermi level**: 6.8 states/eV/f.u.


# 3
Here is crystalline Cu12SbPd6 at its relaxed geometry from Alexandria via LeMat-Bulk. Energies are from PBE.

a b c (Å): 11.2883 11.2883 7.8471
angles (deg): 90.00 90.00 120.00
Space group R-3m (No. 166, hexagonal axes)
Symmetry-distinct sites (fractional):
Cu (0.0000, 0.3895, 0.0000) (multiplicity 18)
Cu (0.0786, 0.1572, 0.7644) (multiplicity 18)
Sb (0.0000, 0.0000, 0.5000) (multiplicity 3)
Pd (0.0663, 0.5332, 0.7273) (multiplicity 18)

Summary:
**Formation energy from raw total energies**: 0.1452 eV/atom
**Energy**: -4.30 eV/atom
**Magnetic moment**: 0.000 μB/f.u.
**Density of states at the Fermi level**: 10.6 states/eV/f.u.


# 4
Here is crystalline SiGeAuS at its relaxed geometry from Alexandria via LeMat-Bulk. Energies are from PBE.

a b c (Å): 10.1862 3.2723 5.6046
angles (deg): 90.00 96.12 90.00
Space group Cm (No. 8)
Symmetry-distinct sites (fractional):
Si (0.0000, 0.0000, 0.0000) (multiplicity 2)
Ge (0.1411, 0.0000, 0.6731) (multiplicity 2)
Au (0.0926, 0.5000, 0.3183) (multiplicity 2)
S (0.3401, 0.0000, 0.9367) (multiplicity 2)

Summary:
**Formation energy from raw total energies**: -0.0172 eV/atom
**Energy**: -4.38 eV/atom
**Magnetic moment**: 0.000 μB/f.u.
**Density of states at the Fermi level**: 0.8 states/eV/f.u.